Entry from the Alexandria database: an optimized crystal structure of TmHg4Pb (PBE-GGA).

Unit cell a=6.0243 b=6.0243 c=6.0243 alpha=60.00 beta=60.00 gamma=60.00
Positions (direct):
Tm  0.0000  0.0000  0.0000
Hg  0.1248  0.6251  0.6251
Hg  0.6251  0.1248  0.6251
Hg  0.6251  0.6251  0.1248
Hg  0.6251  0.6251  0.6251
Pb  0.2500  0.2500  0.2500

Results
ΔH_f (0 K): -27.9 meV/atom
energy above the lowest structure with this stoichiometry: 146 meV per atom
total magnetization: 0.0000 μB/atom
density: 12.66 g/cm³

Entry from the Alexandria database: an optimized crystal structure of ScSb2TeSe (PBE-GGA).

Unit cell a=5.3727 b=5.3727 c=5.3405 alpha=90.00 beta=90.00 gamma=90.00
Positions (direct):
Sc  0.0000  0.0000  0.0000
Sb  0.0000  0.5000  0.5000
Sb  0.5000  0.0000  0.5000
Te  0.5000  0.5000  0.0000
Se  0.5000  0.5000  0.5000

Results
energy above the lowest structure with this stoichiometry: 85 meV per atom
total magnetization: 0.0000 μB/atom
density: 5.33 g/cm³
raw formation energy: 348 meV/atom

Entry from the Alexandria database: an optimized crystal structure of LaReNF2 (PBE-GGA).

Unit cell a=4.5466 b=4.5466 c=4.9807 alpha=90.00 beta=90.00 gamma=90.00
Positions (direct):
La  0.0000  0.0000  0.0000
Re  0.5000  0.5000  0.5000
N  0.0000  0.0000  0.5000
F  0.0000  0.5000  0.0000
F  0.5000  0.0000  0.0000

Results
total magnetization: 1.0612 μB/atom
density: 6.08 g/cm³
raw formation energy: -472 meV/atom

Entry from the Alexandria database: an optimized crystal structure of CoHgTeN2 (PBE-GGA).

Unit cell a=3.9087 b=3.9087 c=5.4625 alpha=90.00 beta=90.00 gamma=90.00
Positions (direct):
Co  0.0000  0.0000  0.0000
Hg  0.5000  0.5000  0.5000
Te  0.0000  0.0000  0.5000
N  0.0000  0.5000  0.0000
N  0.5000  0.0000  0.0000

Results
energy above the lowest structure with this stoichiometry: 0 meV per atom
total magnetization: 0.7157 μB/atom
density: 8.26 g/cm³
raw formation energy: 1144 meV/atom

Entry from the Alexandria database: an optimized crystal structure of CaMgBiO4 (PBE-GGA).

Unit cell a=6.6092 b=6.6092 c=6.6092 alpha=120.03 beta=117.16 gamma=92.46
Positions (direct):
Ca  0.3820  0.1320  0.2500
Ca  0.6180  0.8680  0.7500
Mg  0.0000  0.0000  0.5000
Mg  0.0000  0.5000  0.0000
Bi  0.0000  0.5000  0.5000
Bi  0.5000  0.5000  0.0000
O  0.2065  0.7428  0.4636
O  0.2208  0.2572  0.9636
O  0.2361  0.2594  0.5233
O  0.2361  0.7128  0.9767
O  0.7639  0.2872  0.0233
O  0.7639  0.7406  0.4767
O  0.7792  0.7428  0.0364
O  0.7935  0.2572  0.5364

Results
total magnetization: 0.0000 μB/atom
density: 5.38 g/cm³
raw formation energy: -2015 meV/atom

Entry from the Alexandria database: an optimized crystal structure of DyEr3Co2 (PBE-GGA).

Unit cell a=8.0685 b=8.0685 c=8.0685 alpha=132.53 beta=71.57 gamma=129.81
Positions (direct):
Dy  0.0000  0.0000  0.0000
Dy  0.5000  0.5000  0.0000
Er  0.0139  0.2500  0.7639
Er  0.2500  0.7500  0.5000
Er  0.4861  0.2500  0.2361
Er  0.5139  0.7500  0.7639
Er  0.7500  0.2500  0.5000
Er  0.9861  0.7500  0.2361
Co  0.1358  0.7206  0.8564
Co  0.3642  0.2206  0.5848
Co  0.6358  0.7794  0.4152
Co  0.8642  0.2794  0.1436

Results
ΔH_f (0 K): -86.7 meV/atom
energy above the lowest structure with this stoichiometry: 88 meV per atom
total magnetization: 0.0000 μB/atom
density: 8.93 g/cm³

Entry from the Alexandria database: an optimized crystal structure of V6HN (PBE-GGA).

Unit cell a=4.4834 b=4.9219 c=5.1459 alpha=64.87 beta=66.57 gamma=64.17
Positions (direct):
V  0.0027  0.2612  0.2564
V  0.2997  0.1004  0.7266
V  0.3908  0.6038  0.2080
V  0.6092  0.3962  0.7920
V  0.7003  0.8996  0.2734
V  0.9973  0.7388  0.7436
H  0.5000  0.0000  0.0000
N  0.0000  0.5000  0.5000

Results
total DFT energy (no corrections): -8.692 eV per atom
total magnetization: 0.0000 μB/atom
density: 5.96 g/cm³

Entry from the Alexandria database: an optimized crystal structure of VRhN (PBE-GGA).

Unit cell a=2.8014 b=2.8014 c=4.2480 alpha=90.00 beta=90.00 gamma=90.00
Positions (direct):
V  0.0000  0.0000  0.0000
Rh  0.5000  0.5000  0.4434
N  0.5000  0.5000  0.9235

Results
energy above the lowest structure with this stoichiometry: 35 meV per atom
total magnetization: 0.0002 μB/atom
density: 8.36 g/cm³
raw formation energy: -582 meV/atom

Entry from the Alexandria database: an optimized crystal structure of KRh2WS (PBE-GGA).

Unit cell a=4.4653 b=4.4653 c=5.2477 alpha=90.00 beta=90.00 gamma=90.00
Positions (direct):
K  0.0000  0.0000  0.0000
Rh  0.0000  0.5000  0.5000
Rh  0.5000  0.0000  0.5000
W  0.5000  0.5000  0.0000
S  0.0000  0.0000  0.5000

Results
total magnetization: 0.9395 μB/atom
density: 7.31 g/cm³
raw formation energy: 1240 meV/atom

Entry from the Alexandria database: an optimized crystal structure of AcCe2Pm (PBE-GGA).

Unit cell a=5.0908 b=5.0908 c=5.2223 alpha=90.00 beta=90.00 gamma=90.00
Positions (direct):
Ac  0.0000  0.0000  0.0000
Ce  0.0000  0.5000  0.5000
Ce  0.5000  0.0000  0.5000
Pm  0.5000  0.5000  0.0000

Results
ΔH_f (0 K): 150.0 meV/atom
energy above the lowest structure with this stoichiometry: 0 meV per atom
total magnetization: 0.4865 μB/atom
density: 8.00 g/cm³

Entry from the Alexandria database: an optimized crystal structure of ErThPa2 (PBE-GGA).

Unit cell a=5.4113 b=5.4113 c=5.4113 alpha=59.99 beta=59.99 gamma=59.99
Positions (direct):
Er  0.0000  0.0000  0.0000
Th  0.5000  0.5000  0.5000
Pa  0.2505  0.2505  0.2505
Pa  0.7495  0.7495  0.7495

Results
ΔH_f (0 K): 440.1 meV/atom
energy above the lowest structure with this stoichiometry: 261 meV per atom
total magnetization: 0.0000 μB/atom
density: 12.77 g/cm³

Entry from the Alexandria database: an optimized crystal structure of Cu3SeI2 (PBE-GGA).

Unit cell a=7.8056 b=7.8056 c=7.2537 alpha=102.43 beta=102.43 gamma=124.17
Positions (direct):
Cu  0.0000  0.0000  0.0000
Cu  0.0000  0.0000  0.5000
Cu  0.1544  0.5063  0.9156
Cu  0.4937  0.8456  0.5844
Cu  0.5063  0.1544  0.4156
Cu  0.8456  0.4937  0.0844
Se  0.1031  0.8969  0.2500
Se  0.8969  0.1031  0.7500
I  0.2215  0.7785  0.7500
I  0.4234  0.5766  0.2500
I  0.5766  0.4234  0.7500
I  0.7785  0.2215  0.2500

Results
energy above the lowest structure with this stoichiometry: 98 meV per atom
total magnetization: 0.0000 μB/atom
density: 5.35 g/cm³
raw formation energy: -25 meV/atom